# Pr3Hg4 PBE-GGA optimized geometry
data_Pr3Hg4
_cell_length_a 14.4045
_cell_length_b 14.4045
_cell_length_c 6.5853
_cell_angle_alpha 90.00
_cell_angle_beta 90.00
_cell_angle_gamma 120.00
_space_group_name_H-M_alt 'R -3'
_space_group_IT_number 148
_space_group_name_Hall '-R 3'
loop_
_atom_site_label
_atom_site_type_symbol
_atom_site_fract_x
_atom_site_fract_y
_atom_site_fract_z
_atom_site_occupancy
Pr1 Pr 0.0446 0.2171 0.2255 1
Hg1 Hg 0.0000 0.0000 0.0000 1
Hg2 Hg 0.0000 0.0000 0.5000 1
Hg3 Hg 0.0548 0.2649 0.7068 1
# Crystal system: trigonal
# ΔH_f (0 K), kJ/mol of formula units: -321.6



# Pr3Hg PBE-GGA optimized geometry
data_Pr3Hg
_cell_length_a 7.9360
_cell_length_b 7.9360
_cell_length_c 7.9360
_cell_angle_alpha 90.00
_cell_angle_beta 90.00
_cell_angle_gamma 90.00
_space_group_name_H-M_alt 'F m -3 m'
_space_group_IT_number 225
_space_group_name_Hall '-F 4 2 3'
loop_
_atom_site_label
_atom_site_type_symbol
_atom_site_fract_x
_atom_site_fract_y
_atom_site_fract_z
_atom_site_occupancy
Pr1 Pr 0.0000 0.0000 0.0000 1
Pr2 Pr 0.2500 0.2500 0.2500 1
Hg1 Hg 0.0000 0.0000 0.5000 1
# Crystal system: cubic
# ΔH_f (0 K), kJ/mol of formula units: -24.0



# Pr3Hg8 PBE-GGA optimized geometry
data_Pr3Hg8
_cell_length_a 5.0942
_cell_length_b 5.0942
_cell_length_c 38.0391
_cell_angle_alpha 90.00
_cell_angle_beta 90.00
_cell_angle_gamma 120.00
_space_group_name_H-M_alt 'R -3 m'
_space_group_IT_number 166
_space_group_name_Hall '-R 3 2"'
loop_
_atom_site_label
_atom_site_type_symbol
_atom_site_fract_x
_atom_site_fract_y
_atom_site_fract_z
_atom_site_occupancy
Pr1 Pr 0.0000 0.0000 0.0000 1
Pr2 Pr 0.0000 0.0000 0.4507 1
Hg1 Hg 0.0000 0.0000 0.0849 1
Hg2 Hg 0.0000 0.0000 0.1659 1
Hg3 Hg 0.0000 0.0000 0.2743 1
Hg4 Hg 0.0000 0.0000 0.3641 1
# Crystal system: trigonal
# ΔH_f (0 K), kJ/mol of formula units: -415.3



Copy entry 2 word for word.
# Pr3Hg PBE-GGA optimized geometry
data_Pr3Hg
_cell_length_a 7.9360
_cell_length_b 7.9360
_cell_length_c 7.9360
_cell_angle_alpha 90.00
_cell_angle_beta 90.00
_cell_angle_gamma 90.00
_space_group_name_H-M_alt 'F m -3 m'
_space_group_IT_number 225
_space_group_name_Hall '-F 4 2 3'
loop_
_atom_site_label
_atom_site_type_symbol
_atom_site_fract_x
_atom_site_fract_y
_atom_site_fract_z
_atom_site_occupancy
Pr1 Pr 0.0000 0.0000 0.0000 1
Pr2 Pr 0.2500 0.2500 0.2500 1
Hg1 Hg 0.0000 0.0000 0.5000 1
# Crystal system: cubic
# ΔH_f (0 K), kJ/mol of formula units: -24.0